The following is a DFT calculation (PBE) of an optimized crystal structure of Tm6Zn23.

Calculated values
Size of the total moment ... 0.00 μB/cell
Total energy ... -2.2289 eV per atom
SG ... Fm-3m, No. 225

Cell: 8.9102 8.9102 8.9102 Å, 60.00 60.00 60.00°
Positions (direct):
Tm 0.2061 0.2061 0.7939
Tm 0.2061 0.7939 0.2061
Tm 0.2061 0.7939 0.7939
Tm 0.7939 0.2061 0.2061
Tm 0.7939 0.2061 0.7939
Tm 0.7939 0.7939 0.2061
Zn 0.0000 0.0000 0.5000
Zn 0.0000 0.5000 0.0000
Zn 0.0000 0.5000 0.5000
Zn 0.1322 0.6226 0.6226
Zn 0.1705 0.1705 0.1705
Zn 0.1705 0.1705 0.4885
Zn 0.1705 0.4885 0.1705
Zn 0.3774 0.3774 0.3774
Zn 0.3774 0.3774 0.8678
Zn 0.3774 0.8678 0.3774
Zn 0.4885 0.1705 0.1705
Zn 0.5000 0.0000 0.0000
Zn 0.5000 0.0000 0.5000
Zn 0.5000 0.5000 0.0000
Zn 0.5000 0.5000 0.5000
Zn 0.5115 0.8295 0.8295
Zn 0.6226 0.1322 0.6226
Zn 0.6226 0.6226 0.1322
Zn 0.6226 0.6226 0.6226
Zn 0.8295 0.5115 0.8295
Zn 0.8295 0.8295 0.5115
Zn 0.8295 0.8295 0.8295
Zn 0.8678 0.3774 0.3774